Entry 1:
Na2YMgNb | Alexandria | PBE | optimized geometry; energy of formation = 1860.0 meV per atom; SG = No. 123; volume = 29.74 A^3/atom; DOS at the Fermi energy = 2.20 states/eV/cell; density = 2.8 Mg/m³
1.0
-1.9963 2.4655 4.1262
-5.0507 -0.6719 -2.0420
-0.4121 -4.5393 2.5129
Nb Y Na Mg
1 1 2 1
Cartesian
-3.7295 -1.3729 2.2985
0.0000 0.0000 0.0000
-0.2060 -2.2696 1.2565
-0.9981 1.2327 2.0631
-2.5253 -0.3360 -1.0210

=====

Entry 2:
NaNd2Mg | Alexandria | PBE | optimized geometry; energy of formation = 152.6 meV per atom; SG = No. 166; volume = 33.66 A^3/atom; DOS at the Fermi energy = 4.29 states/eV/cell; density = 4.1 Mg/m³; energy above the most stable polymorph in this dataset = 6.5 kJ/mol of atoms
1.0
-0.8843 2.9205 -1.7378
-2.1547 -0.1874 -2.7665
-10.9360 2.4435 6.1231
Mg Na Nd
1 1 2
Cartesian
-6.9875 2.5883 0.8094
0.0000 0.0000 0.0000
-8.1052 2.0063 3.9480
-5.8697 3.1702 -2.3292

=====

Entry 3:
NaNdMg2 | Alexandria | PBE | optimized geometry; energy of formation = 41.7 meV per atom; SG = No. 123; volume = 29.37 A^3/atom; DOS at the Fermi energy = 3.33 states/eV/cell; density = 3.1 Mg/m³; energy above the most stable polymorph in this dataset = 0.0 kJ/mol of atoms
1.0
-2.3902 -2.6191 -1.3417
2.6156 -2.6829 0.5775
-2.9077 -1.2110 7.5436
Mg Na Nd
2 1 1
Cartesian
-2.1844 -0.9098 5.6672
-0.7233 -0.3012 1.8765
0.1127 -2.6510 -0.3821
-1.3411 -3.2565 3.3897